[1]
The following is a PBE-GGA calculation of crystalline Tb4Ho3Ni2 at its relaxed geometry, from the Alexandria database.

a = 16.472 Å, b = 3.595 Å, c = 8.977 Å
α = 90.00°, β = 113.03°, γ = 90.00°
Space group C2/m (No. 12)
Unique sites:
Tb (0.133, 0.000, 0.392) (multiplicity 4)
Tb (0.230, 0.500, 0.153) (multiplicity 4)
Ho (0.000, 0.500, 0.000) (multiplicity 2)
Ho (0.070, 0.500, 0.688) (multiplicity 4)
Ni (0.118, 0.000, 0.939) (multiplicity 4)

Output
Fermi-level density of states ... 22.04 states/eV per cell
Total moment ... 0.000 μB per atom
ρ ... 8.47 g/cm3
E_form ... -169 meV per atom



[2]
The following is a PBE-GGA calculation of crystalline TbHo4Ni4 at its relaxed geometry, from the Alexandria database.

a = 8.505 Å, b = 8.505 Å, c = 5.584 Å
α = 90.00°, β = 90.00°, γ = 90.00°
Space group P4_2/n (No. 86, origin choice 2)
Unique sites:
Tb (0.250, 0.250, 0.250) (multiplicity 2)
Ho (0.067, 0.663, 0.150) (multiplicity 8)
Ni (0.026, 0.616, 0.637) (multiplicity 8)

Output
Fermi-level density of states ... 14.51 states/eV per cell
Total moment ... 0.000 μB per atom
ρ ... 8.66 g/cm3
E_form ... -274 meV per atom



[3]
The following is a PBE-GGA calculation of crystalline TbHo12Ni6 at its relaxed geometry, from the Alexandria database.

a = 9.791 Å, b = 9.791 Å, c = 9.791 Å
α = 90.00°, β = 90.00°, γ = 90.00°
Space group Im-3 (No. 204)
Unique sites:
Tb (0.000, 0.000, 0.000) (multiplicity 2)
Ho (0.000, 0.184, 0.311) (multiplicity 24)
Ni (0.000, 0.376, 0.500) (multiplicity 12)

Output
Fermi-level density of states ... 45.12 states/eV per cell
Total moment ... 0.001 μB per atom
ρ ... 8.81 g/cm3
E_form ... -248 meV per atom



[4]
The following is a PBE-GGA calculation of crystalline Tb5HoNi2 at its relaxed geometry, from the Alexandria database.

a = 3.653 Å, b = 13.084 Å, c = 18.313 Å
α = 90.00°, β = 90.00°, γ = 90.00°
Space group Cmcm (No. 63)
Unique sites:
Tb (0.000, 0.048, 0.250) (multiplicity 4)
Tb (0.000, 0.177, 0.563) (multiplicity 8)
Tb (0.000, 0.439, 0.586) (multiplicity 8)
Ho (0.000, 0.230, 0.750) (multiplicity 4)
Ni (0.000, 0.200, 0.139) (multiplicity 8)

Output
Fermi-level density of states ... 40.00 states/eV per cell
Total moment ... 0.000 μB per atom
ρ ... 8.17 g/cm3
E_form ... -148 meV per atom



[5]
The following is a PBE-GGA calculation of crystalline Tb2HoNi at its relaxed geometry, from the Alexandria database.

a = 3.7874 Å, b = 3.7874 Å, c = 26.7209 Å
α = 90.00°, β = 90.00°, γ = 120.00°
Space group R3m (No. 160, hexagonal axes)
Unique sites:
Tb (0.0000, 0.0000, 0.0000) (multiplicity 3)
Tb (0.0000, 0.0000, 0.2133) (multiplicity 3)
Ho (0.0000, 0.0000, 0.7718) (multiplicity 3)
Ni (0.0000, 0.0000, 0.6073) (multiplicity 3)

Output
Distance to the lowest polymorph of the same formula ... 0.64 eV per formula unit
Fermi-level density of states ... 14.80 states/eV per cell
Total moment ... 0.000 μB per atom
ρ ... 8.13 g/cm3
E_form ... -84 meV per atom



[6]
The following is a PBE-GGA calculation of crystalline TbHo2Ni2 at its relaxed geometry, from the Alexandria database.

a = 3.636 Å, b = 30.068 Å, c = 4.210 Å
α = 90.00°, β = 90.00°, γ = 90.00°
Space group Cmcm (No. 63)
Unique sites:
Tb (0.000, 0.122, 0.250) (multiplicity 4)
Ho (0.000, 0.214, 0.750) (multiplicity 4)
Ho (0.000, 0.453, 0.250) (multiplicity 4)
Ni (0.000, 0.025, 0.250) (multiplicity 4)
Ni (0.000, 0.356, 0.250) (multiplicity 4)

Output
Distance to the lowest polymorph of the same formula ... 0.00 eV per formula unit
Fermi-level density of states ... 18.05 states/eV per cell
Total moment ... 0.000 μB per atom
ρ ... 8.75 g/cm3
E_form ... -289 meV per atom



[7]
The following is a PBE-GGA calculation of crystalline Tb2HoNi at its relaxed geometry, from the Alexandria database.

a = 3.5722 Å, b = 3.5722 Å, c = 31.0390 Å
α = 90.00°, β = 90.00°, γ = 120.00°
Space group R-3m (No. 166, hexagonal axes)
Unique sites:
Tb (0.0000, 0.0000, 0.1106) (multiplicity 6)
Ho (0.0000, 0.0000, 0.0000) (multiplicity 3)
Ni (0.0000, 0.0000, 0.5000) (multiplicity 3)

Output
Distance to the lowest polymorph of the same formula ... 1.36 eV per formula unit
Fermi-level density of states ... 18.11 states/eV per cell
Total moment ... 0.000 μB per atom
ρ ... 7.86 g/cm3
E_form ... 95 meV per atom



[8]
The following is a PBE-GGA calculation of crystalline TbHoNi10 at its relaxed geometry, from the Alexandria database.

a = 3.957 Å, b = 4.879 Å, c = 8.442 Å
α = 90.00°, β = 90.00°, γ = 90.00°
Space group Pmmm (No. 47)
Unique sites:
Tb (0.000, 0.000, 0.000) (multiplicity 1)
Ho (0.000, 0.500, 0.500) (multiplicity 1)
Ni (0.000, 0.000, 0.334) (multiplicity 2)
Ni (0.000, 0.500, 0.168) (multiplicity 2)
Ni (0.500, 0.000, 0.500) (multiplicity 1)
Ni (0.500, 0.251, 0.251) (multiplicity 4)
Ni (0.500, 0.500, 0.000) (multiplicity 1)

Output
Fermi-level density of states ... 13.62 states/eV per cell
Total moment ... 0.238 μB per atom
ρ ... 9.28 g/cm3
E_form ... -329 meV per atom